The following is a PBE calculation of an optimized crystal structure of ScFePd, from OQMD via LeMat-Bulk.

The structure belongs to space group F-43m (No. 216); the cell edges are 6.0649, 6.0649 and 6.0649 Å and the angles 90.00°, 90.00° and 90.00°. The inequivalent atoms are Sc at (0.0000, 0.0000, 0.0000), Fe at (0.2500, 0.2500, 0.7500) and Pd at (0.2500, 0.2500, 0.2500).

The volume comes out at 223 Å³ per cell. As for the formation energy: 33.47 kJ/mol of atoms.


The following is a PBE calculation of an optimized crystal structure of ScFe2Pd, from OQMD via LeMat-Bulk.

The structure belongs to space group F-43m (No. 216); the cell edges are 6.1712, 6.1712 and 6.1712 Å and the angles 90.00°, 90.00° and 90.00°. The inequivalent atoms are Sc at (0.0000, 0.0000, 0.0000), Fe at (0.0000, 0.0000, 0.5000), Fe at (0.2500, 0.2500, 0.7500) and Pd at (0.2500, 0.2500, 0.2500).

The volume comes out at 235 Å³ per cell. As for the formation energy: -18.36 kJ/mol of atoms.


The following is a PBE calculation of an optimized crystal structure of ScFePd, from OQMD via LeMat-Bulk.

The structure belongs to space group F-43m (No. 216); the cell edges are 6.0292, 6.0292 and 6.0292 Å and the angles 90.00°, 90.00° and 90.00°. The inequivalent atoms are Sc at (0.0000, 0.0000, 0.0000), Fe at (0.0000, 0.0000, 0.5000) and Pd at (0.2500, 0.2500, 0.7500).

The volume comes out at 219 Å³ per cell. As for the formation energy: -1.12 kJ/mol of atoms.


The following is a PBE calculation of an optimized crystal structure of ScTlFePd, from OQMD via LeMat-Bulk.

The structure belongs to space group F-43m (No. 216); the cell edges are 6.6062, 6.6062 and 6.6062 Å and the angles 90.00°, 90.00° and 90.00°. The inequivalent atoms are Sc at (0.0000, 0.0000, 0.0000), Tl at (0.2500, 0.2500, 0.2500), Fe at (0.0000, 0.0000, 0.5000) and Pd at (0.2500, 0.2500, 0.7500).

The volume comes out at 288 Å³ per cell. Its energy above the most stable polymorph in this dataset is 0.082 eV/atom.


The following is a PBE calculation of an optimized crystal structure of ScTlFePd, from OQMD via LeMat-Bulk.

The structure belongs to space group F-43m (No. 216); the cell edges are 6.5359, 6.5359 and 6.5359 Å and the angles 90.00°, 90.00° and 90.00°. The inequivalent atoms are Sc at (0.0000, 0.0000, 0.0000), Tl at (0.0000, 0.0000, 0.5000), Fe at (0.2500, 0.2500, 0.7500) and Pd at (0.2500, 0.2500, 0.2500).

The volume comes out at 279 Å³ per cell. Its energy above the most stable polymorph in this dataset is 0.000 eV/atom.


The following is a PBE calculation of an optimized crystal structure of Fe2SiPd, from OQMD via LeMat-Bulk.

The structure belongs to space group F-43m (No. 216); the cell edges are 5.8668, 5.8668 and 5.8668 Å and the angles 90.00°, 90.00° and 90.00°. The inequivalent atoms are Fe at (0.0000, 0.0000, 0.0000), Fe at (0.2500, 0.2500, 0.2500), Si at (0.0000, 0.0000, 0.5000) and Pd at (0.2500, 0.2500, 0.7500).

The volume comes out at 202 Å³ per cell. As for the final energy: -7.03 eV per atom.


The following is a PBE calculation of an optimized crystal structure of FeSi2Pd, from OQMD via LeMat-Bulk.

The structure belongs to space group F-43m (No. 216); the cell edges are 6.0022, 6.0022 and 6.0022 Å and the angles 90.00°, 90.00° and 90.00°. The inequivalent atoms are Fe at (0.0000, 0.0000, 0.0000), Si at (0.0000, 0.0000, 0.5000), Si at (0.2500, 0.2500, 0.2500) and Pd at (0.2500, 0.2500, 0.7500).

The volume comes out at 216 Å³ per cell. As for the final energy: -5.97 eV per atom.


The following is a PBE calculation of an optimized crystal structure of FeSiPd2, from OQMD via LeMat-Bulk.

The structure belongs to space group F-43m (No. 216); the cell edges are 5.9803, 5.9803 and 5.9803 Å and the angles 90.00°, 90.00° and 90.00°. The inequivalent atoms are Fe at (0.0000, 0.0000, 0.0000), Si at (0.2500, 0.2500, 0.7500), Pd at (0.0000, 0.0000, 0.5000) and Pd at (0.2500, 0.2500, 0.2500).

The volume comes out at 214 Å³ per cell. As for the final energy: -6.21 eV per atom.


The following is a PBE calculation of an optimized crystal structure of TaFeSiPd, from OQMD via LeMat-Bulk.

The structure belongs to space group F-43m (No. 216); the cell edges are 6.1428, 6.1428 and 6.1428 Å and the angles 90.00°, 90.00° and 90.00°. The inequivalent atoms are Ta at (0.0000, 0.0000, 0.0000), Fe at (0.0000, 0.0000, 0.5000), Si at (0.2500, 0.2500, 0.2500) and Pd at (0.2500, 0.2500, 0.7500).

The volume comes out at 232 Å³ per cell. Its energy above the most stable polymorph in this dataset is 0.064 eV/atom.


The following is a PBE calculation of an optimized crystal structure of TaFeSiPd, from OQMD via LeMat-Bulk.

The structure belongs to space group F-43m (No. 216); the cell edges are 6.1095, 6.1095 and 6.1095 Å and the angles 90.00°, 90.00° and 90.00°. The inequivalent atoms are Ta at (0.0000, 0.0000, 0.0000), Fe at (0.2500, 0.2500, 0.7500), Si at (0.0000, 0.0000, 0.5000) and Pd at (0.2500, 0.2500, 0.2500).

The volume comes out at 228 Å³ per cell. Its energy above the most stable polymorph in this dataset is 0.000 eV/atom.


The following is a PBE calculation of an optimized crystal structure of TbFeSi2Pd, from OQMD via LeMat-Bulk.

The structure belongs to space group I-4m2 (No. 119); the cell edges are 4.0028, 4.0028 and 9.9674 Å and the angles 90.00°, 90.00° and 90.00°. The inequivalent atoms are Tb at (0.0000, 0.0000, 0.0000), Fe at (0.0000, 0.5000, 0.2500), Si at (0.0000, 0.0000, 0.3785) and Pd at (0.0000, 0.5000, 0.7500).

The volume comes out at 160 Å³ per cell. As for the final energy: -6.56 eV per atom.


The following is a PBE calculation of an optimized crystal structure of FeSiPdW, from OQMD via LeMat-Bulk.

The structure belongs to space group F-43m (No. 216); the cell edges are 6.0462, 6.0462 and 6.0462 Å and the angles 90.00°, 90.00° and 90.00°. The inequivalent atoms are Fe at (0.0000, 0.0000, 0.0000), Si at (0.2500, 0.2500, 0.7500), Pd at (0.2500, 0.2500, 0.2500) and W at (0.0000, 0.0000, 0.5000).

The volume comes out at 221 Å³ per cell. Its energy above the most stable polymorph in this dataset is 0.000 eV/atom.


The following is a PBE calculation of an optimized crystal structure of FeSiPdW, from OQMD via LeMat-Bulk.

The structure belongs to space group F-43m (No. 216); the cell edges are 6.0504, 6.0504 and 6.0504 Å and the angles 90.00°, 90.00° and 90.00°. The inequivalent atoms are Fe at (0.0000, 0.0000, 0.0000), Si at (0.2500, 0.2500, 0.7500), Pd at (0.0000, 0.0000, 0.5000) and W at (0.2500, 0.2500, 0.2500).

The volume comes out at 221 Å³ per cell. Its energy above the most stable polymorph in this dataset is 0.066 eV/atom.


The following is a PBE calculation of an optimized crystal structure of YFeSi2Pd, from OQMD via LeMat-Bulk.

The structure belongs to space group I-4m2 (No. 119); the cell edges are 3.9982, 3.9982 and 9.9620 Å and the angles 90.00°, 90.00° and 90.00°. The inequivalent atoms are Y at (0.0000, 0.0000, 0.0000), Fe at (0.0000, 0.5000, 0.2500), Si at (0.0000, 0.0000, 0.3784) and Pd at (0.0000, 0.5000, 0.7500).

The volume comes out at 159 Å³ per cell. As for the final energy: -6.93 eV per atom.


The following is a PBE calculation of an optimized crystal structure of SmFePd, from OQMD via LeMat-Bulk.

The structure belongs to space group F-43m (No. 216); the cell edges are 6.5127, 6.5127 and 6.5127 Å and the angles 90.00°, 90.00° and 90.00°. The inequivalent atoms are Sm at (0.0000, 0.0000, 0.0000), Fe at (0.2500, 0.2500, 0.7500) and Pd at (0.2500, 0.2500, 0.2500).

The volume comes out at 276 Å³ per cell. As for the formation energy: 55.02 kJ/mol of atoms.


The following is a PBE calculation of an optimized crystal structure of SmFePd, from OQMD via LeMat-Bulk.

The structure belongs to space group F-43m (No. 216); the cell edges are 6.4823, 6.4823 and 6.4823 Å and the angles 90.00°, 90.00° and 90.00°. The inequivalent atoms are Sm at (0.0000, 0.0000, 0.0000), Fe at (0.0000, 0.0000, 0.5000) and Pd at (0.2500, 0.2500, 0.7500).

The volume comes out at 272 Å³ per cell. As for the formation energy: 4.08 kJ/mol of atoms.


The following is a PBE calculation of an optimized crystal structure of Fe2SnPd2, from OQMD via LeMat-Bulk.

The structure belongs to space group P4/mbm (No. 127); the cell edges are 7.4310, 7.4310 and 2.9005 Å and the angles 90.00°, 90.00° and 90.00°. The inequivalent atoms are Fe at (0.1612, 0.3388, 0.0000), Sn at (0.0000, 0.0000, 0.5000) and Pd at (0.1332, 0.6332, 0.5000).

The volume comes out at 160 Å³ per cell. Its energy above the most stable polymorph in this dataset is 0.000 eV/atom.


The following is a PBE calculation of an optimized crystal structure of FeSnPd2, from OQMD via LeMat-Bulk.

The structure belongs to space group F-43m (No. 216); the cell edges are 6.3358, 6.3358 and 6.3358 Å and the angles 90.00°, 90.00° and 90.00°. The inequivalent atoms are Fe at (0.0000, 0.0000, 0.0000), Sn at (0.2500, 0.2500, 0.7500), Pd at (0.0000, 0.0000, 0.5000) and Pd at (0.2500, 0.2500, 0.2500).

The volume comes out at 254 Å³ per cell. As for the final energy: -5.86 eV per atom.


The following is a PBE calculation of an optimized crystal structure of Fe2SnPd2, from OQMD via LeMat-Bulk.

The structure belongs to space group I4/mmm (No. 139); the cell edges are 3.8699, 3.8699 and 11.1056 Å and the angles 90.00°, 90.00° and 90.00°. The inequivalent atoms are Fe at (0.0000, 0.0000, 0.0996), Sn at (0.0000, 0.0000, 0.5000) and Pd at (0.0000, 0.5000, 0.2500).

The volume comes out at 166 Å³ per cell. Its energy above the most stable polymorph in this dataset is 0.127 eV/atom.


The following is a PBE calculation of an optimized crystal structure of FeSn2Pd, from OQMD via LeMat-Bulk.

The structure belongs to space group F-43m (No. 216); the cell edges are 6.7615, 6.7615 and 6.7615 Å and the angles 90.00°, 90.00° and 90.00°. The inequivalent atoms are Fe at (0.0000, 0.0000, 0.0000), Sn at (0.0000, 0.0000, 0.5000), Sn at (0.2500, 0.2500, 0.2500) and Pd at (0.2500, 0.2500, 0.7500).

The volume comes out at 309 Å³ per cell. As for the final energy: -5.11 eV per atom.